A relaxed structure of Cu3Ni2, computed with GGA-PBE.

E_form, eV/atom: 0.01
Fermi-level density of states, states/eV/atom: 1.082
DFT total energy, eV/atom: -4.76
Relative energy among the computed polymorphs, meV/atom: 10
Total moment, μB/cell: 0.9

a b c (Å): 2.526 2.526 10.459
angles (deg): 83.06 83.06 60.00
Each line ends with the local moment (μB).
Positions (direct):
Ni (0.301, 0.301, 0.097)  0.51
Ni (0.699, 0.699, 0.903)  0.51
Cu (0.901, 0.901, 0.296)  -0.01
Cu (0.099, 0.099, 0.704)  -0.01
Cu (0.500, 0.500, 0.500)  -0.01

A relaxed structure of ZnCrOs2, computed with GGA-PBE.

E_form, eV/atom: 0.28
Fermi-level density of states, states/eV/atom: 1.282
DFT total energy, eV/atom: -8.05
Total moment, μB/cell: 0.9

a b c (Å): 4.787 4.787 4.787
angles (deg): 134.71 134.71 65.98
Each line ends with the local moment (μB).
Positions (direct):
Cr (0.750, 0.250, 0.500)  1.28
Os (0.250, 0.750, 0.500)  -0.21
Zn (0.500, 0.500, 0.000)  -0.01
Os (0.000, 0.000, 0.000)  -0.22